[1]
DFT (PBE) results for DyTmTeO2 after structural relaxation.

As for the raw total energy: -7.42 eV/atom. As for the space group: P2_1/m. The calculation puts the total magnetic moment at 0.0 μB/f.u.

The structure in POSCAR format:
```
DyTmTeO2
1.0
4.050 0.000 0.000
0.000 6.747 -0.317
0.000 -1.855 7.455
Te Dy Tm O
2 2 2 4
direct
0.250 0.047 0.756
0.750 0.953 0.244
0.250 0.670 0.923
0.750 0.330 0.077
0.750 0.341 0.589
0.250 0.659 0.411
0.250 0.481 0.124
0.250 0.491 0.619
0.750 0.519 0.876
0.750 0.509 0.381
```



[2]
DFT (PBE) results for Tm2Si2Rh5Au after structural relaxation.

As for the raw total energy: -6.88 eV/atom. As for the space group: P4/mbm. The calculation puts the total magnetic moment at 0.0 μB/f.u.

The structure in POSCAR format:
```
Tm2Si2Rh5Au
1.0
-1.794 -2.163 2.068
6.256 -7.129 -2.029
5.483 2.664 7.544
Rh Tm Si Au
10 4 4 2
direct
0.500 0.069 0.785
0.500 0.569 0.715
0.500 0.285 0.569
0.500 0.431 0.285
0.500 0.215 0.069
0.500 0.500 0.000
0.500 0.785 0.931
0.500 0.931 0.215
0.500 0.715 0.431
0.500 0.000 0.500
0.000 0.325 0.825
0.000 0.175 0.325
0.000 0.675 0.175
0.000 0.825 0.675
0.000 0.375 0.125
0.000 0.625 0.875
0.000 0.125 0.625
0.000 0.875 0.375
0.000 0.500 0.500
0.000 0.000 0.000
```



[3]
DFT (PBE) results for CsRb3Pb after structural relaxation.

As for the space group: C2/c. The calculation puts the total magnetic moment at 0.0 μB/f.u. The formation energy comes out at -34 meV/atom.

The structure in POSCAR format:
```
CsRb3Pb
1.0
9.120 0.093 0.069
2.199 13.402 1.254
2.199 5.131 12.444
Rb Pb Cs
12 4 4
direct
0.920 0.339 0.986
0.420 0.986 0.339
0.076 0.007 0.661
0.413 0.662 0.665
0.587 0.338 0.335
0.576 0.661 0.007
0.913 0.665 0.662
0.087 0.335 0.338
0.080 0.661 0.014
0.424 0.339 0.993
0.924 0.993 0.339
0.580 0.014 0.661
0.283 0.597 0.275
0.783 0.275 0.597
0.717 0.403 0.725
0.217 0.725 0.403
0.750 0.623 0.377
0.250 0.377 0.623
0.250 0.936 0.064
0.750 0.064 0.936
```



[4]
DFT (PBE) results for Os2RhBr2 after structural relaxation.

As for the raw total energy: -5.19 eV/atom. As for the space group: I4/mmm. The calculation puts the total magnetic moment at 0.0 μB/f.u.

The structure in POSCAR format:
```
Os2RhBr2
1.0
4.808 3.411 2.661
-0.448 5.557 3.279
-2.491 -5.945 -0.536
Os Br Rh
2 2 1
direct
0.598 0.598 0.000
0.402 0.402 0.000
0.750 0.250 0.500
0.250 0.750 0.500
0.000 0.000 0.000
```